1.
DFT (PBE) results for a relaxed Zr2RhI crystal.

The magnetization comes out at 0.0 μB/cell. As for the total energy: -105.4 eV/cell.

The space group is Fm-3m (No. 225) and the conventional cell measures 6.907, 6.907 and 6.907 Å, with angles of 90.00, 90.00 and 90.00 degrees. The distinct sites, in fractional coordinates, are Zr at (0.250, 0.250, 0.250), Rh at (0.000, 0.000, 0.000) and I at (0.000, 0.000, 0.500).


2.
DFT (PBE) results for a relaxed ZrRh3I crystal.

The magnetization comes out at 0.0 μB/cell. As for the total energy: -27.9 eV/cell.

The space group is Pm-3m (No. 221) and the conventional cell measures 4.788, 4.788 and 4.788 Å, with angles of 90.00, 90.00 and 90.00 degrees. The distinct sites, in fractional coordinates, are Zr at (0.000, 0.000, 0.000), Rh at (0.000, 0.500, 0.500) and I at (0.500, 0.500, 0.500).


3.
DFT (PBE) results for a relaxed ZrRh3I crystal.

The magnetization comes out at 0.0 μB/cell. As for the total energy: -27.7 eV/cell.

The space group is Pm-3m (No. 221) and the conventional cell measures 4.882, 4.882 and 4.882 Å, with angles of 90.00, 90.00 and 90.00 degrees. The distinct sites, in fractional coordinates, are Zr at (0.000, 0.000, 0.000), Rh at (0.000, 0.000, 0.500) and I at (0.500, 0.500, 0.500).


4.
DFT (PBE) results for a relaxed Ru4I crystal.

The magnetization comes out at 6.1 μB/cell. As for the total energy: -27.4 eV/cell.

The space group is Pm-3m (No. 221) and the conventional cell measures 4.768, 4.768 and 4.768 Å, with angles of 90.00, 90.00 and 90.00 degrees. The distinct sites, in fractional coordinates, are Ru at (0.000, 0.000, 0.000), Ru at (0.000, 0.500, 0.500) and I at (0.500, 0.500, 0.500).


5.
DFT (PBE) results for a relaxed RuI3 crystal.

The magnetization comes out at 0.0 μB/cell. As for the total energy: -49.4 eV/cell.

The space group is I-42d (No. 122) and the conventional cell measures 7.710, 7.710 and 10.095 Å, with angles of 90.00, 90.00 and 90.00 degrees. The distinct sites, in fractional coordinates, are Ru at (0.000, 0.000, 0.000), I at (0.000, 0.000, 0.500) and I at (0.143, 0.250, 0.125).


6.
DFT (PBE) results for a relaxed RuI3 crystal.

The magnetization comes out at 11.0 μB/cell. As for the total energy: -38.0 eV/cell.

The space group is Fm-3m (No. 225) and the conventional cell measures 7.725, 7.725 and 7.725 Å, with angles of 90.00, 90.00 and 90.00 degrees. The distinct sites, in fractional coordinates, are Ru at (0.000, 0.000, 0.000), I at (0.000, 0.000, 0.500) and I at (0.250, 0.250, 0.250).


7.
DFT (PBE) results for a relaxed Ru3SI crystal.

The magnetization comes out at 4.4 μB/cell. As for the total energy: -23.3 eV/cell.

The space group is Pm-3m (No. 221) and the conventional cell measures 4.872, 4.872 and 4.872 Å, with angles of 90.00, 90.00 and 90.00 degrees. The distinct sites, in fractional coordinates, are Ru at (0.000, 0.000, 0.500), S at (0.500, 0.500, 0.500) and I at (0.000, 0.000, 0.000).


8.
DFT (PBE) results for a relaxed Ru2SI crystal.

The magnetization comes out at 0.0 μB/cell. As for the total energy: -92.2 eV/cell.

The space group is I-42d (No. 122) and the conventional cell measures 5.232, 5.232 and 12.380 Å, with angles of 90.00, 90.00 and 90.00 degrees. The distinct sites, in fractional coordinates, are Ru at (0.172, 0.250, 0.125), S at (0.000, 0.000, 0.000) and I at (0.000, 0.000, 0.500).


9.
DFT (PBE) results for a relaxed Ru2SI crystal.

The magnetization comes out at 5.3 μB/cell. As for the total energy: -84.9 eV/cell.

The space group is Fm-3m (No. 225) and the conventional cell measures 6.403, 6.403 and 6.403 Å, with angles of 90.00, 90.00 and 90.00 degrees. The distinct sites, in fractional coordinates, are Ru at (0.250, 0.250, 0.250), S at (0.000, 0.000, 0.000) and I at (0.000, 0.000, 0.500).


10.
DFT (PBE) results for a relaxed Ru3SI crystal.

The magnetization comes out at 1.1 μB/cell. As for the total energy: -29.4 eV/cell.

The space group is Pm-3m (No. 221) and the conventional cell measures 4.463, 4.463 and 4.463 Å, with angles of 90.00, 90.00 and 90.00 degrees. The distinct sites, in fractional coordinates, are Ru at (0.000, 0.000, 0.500), S at (0.000, 0.000, 0.000) and I at (0.500, 0.500, 0.500).


11.
DFT (PBE) results for a relaxed SbRuSI2 crystal.

The magnetization comes out at 3.1 μB/cell. As for the total energy: -14.2 eV/cell.

The space group is P4/mmm (No. 123) and the conventional cell measures 5.541, 5.541 and 5.165 Å, with angles of 90.00, 90.00 and 90.00 degrees. The distinct sites, in fractional coordinates, are Sb at (0.000, 0.000, 0.000), Ru at (0.500, 0.500, 0.000), S at (0.000, 0.000, 0.500) and I at (0.000, 0.500, 0.500).


12.
DFT (PBE) results for a relaxed Sb2RuSI crystal.

The magnetization comes out at 0.0 μB/cell. As for the total energy: -20.2 eV/cell.

The space group is P4/mmm (No. 123) and the conventional cell measures 5.098, 5.098 and 5.351 Å, with angles of 90.00, 90.00 and 90.00 degrees. The distinct sites, in fractional coordinates, are Sb at (0.000, 0.500, 0.000), Ru at (0.000, 0.000, 0.000), S at (0.500, 0.500, 0.500) and I at (0.000, 0.000, 0.500).


13.
DFT (PBE) results for a relaxed SbRuSI2 crystal.

The magnetization comes out at 0.0 μB/cell. As for the total energy: -17.1 eV/cell.

The space group is P4/mmm (No. 123) and the conventional cell measures 5.313, 5.313 and 5.126 Å, with angles of 90.00, 90.00 and 90.00 degrees. The distinct sites, in fractional coordinates, are Sb at (0.000, 0.000, 0.000), Ru at (0.000, 0.000, 0.500), S at (0.500, 0.500, 0.000) and I at (0.000, 0.500, 0.500).


14.
DFT (PBE) results for a relaxed Sb2RuSI crystal.

The magnetization comes out at 2.1 μB/cell. As for the total energy: -17.0 eV/cell.

The space group is P4/mmm (No. 123) and the conventional cell measures 5.141, 5.141 and 5.407 Å, with angles of 90.00, 90.00 and 90.00 degrees. The distinct sites, in fractional coordinates, are Sb at (0.000, 0.500, 0.000), Ru at (0.000, 0.000, 0.500), S at (0.500, 0.500, 0.000) and I at (0.500, 0.500, 0.500).


15.
DFT (PBE) results for a relaxed Sm4RuSI2 crystal.

The magnetization comes out at 0.0 μB/cell. As for the total energy: -43.7 eV/cell.

The space group is P2/m (No. 10) and the conventional cell measures 7.453, 4.068 and 8.131 Å, with angles of 90.00, 106.22 and 90.00 degrees. The distinct sites, in fractional coordinates, are Sm at (0.214, 0.000, 0.186), Sm at (0.261, 0.500, 0.818), Ru at (0.000, 0.500, 0.000), S at (0.500, 0.000, 0.000), I at (0.000, 0.000, 0.500) and I at (0.500, 0.500, 0.500).


16.
DFT (PBE) results for a relaxed Sm6Ru2SI3 crystal.

The magnetization comes out at 0.0 μB/cell. As for the total energy: -133.9 eV/cell.

The space group is C2/m (No. 12) and the conventional cell measures 7.215, 12.490 and 8.296 Å, with angles of 90.00, 106.81 and 90.00 degrees. The distinct sites, in fractional coordinates, are Sm at (0.214, 0.000, 0.185), Sm at (0.235, 0.326, 0.185), Ru at (0.000, 0.167, 0.000), S at (0.000, 0.500, 0.000), I at (0.000, 0.000, 0.500) and I at (0.000, 0.335, 0.500).


17.
DFT (PBE) results for a relaxed Tc2RuSI crystal.

The magnetization comes out at 0.7 μB/cell. As for the total energy: -28.3 eV/cell.

The space group is P4/mmm (No. 123) and the conventional cell measures 4.294, 4.294 and 5.415 Å, with angles of 90.00, 90.00 and 90.00 degrees. The distinct sites, in fractional coordinates, are Tc at (0.000, 0.500, 0.000), Ru at (0.000, 0.000, 0.500), S at (0.500, 0.500, 0.000) and I at (0.500, 0.500, 0.500).


18.
DFT (PBE) results for a relaxed TeRuSI2 crystal.

The magnetization comes out at 3.3 μB/cell. As for the total energy: -13.5 eV/cell.

The space group is P4/mmm (No. 123) and the conventional cell measures 5.449, 5.449 and 5.332 Å, with angles of 90.00, 90.00 and 90.00 degrees. The distinct sites, in fractional coordinates, are Te at (0.000, 0.000, 0.000), Ru at (0.500, 0.500, 0.000), S at (0.000, 0.000, 0.500) and I at (0.000, 0.500, 0.500).


19.
DFT (PBE) results for a relaxed TeRuSI2 crystal.

The magnetization comes out at 0.0 μB/cell. As for the total energy: -16.0 eV/cell.

The space group is P4/mmm (No. 123) and the conventional cell measures 5.391, 5.391 and 5.059 Å, with angles of 90.00, 90.00 and 90.00 degrees. The distinct sites, in fractional coordinates, are Te at (0.000, 0.000, 0.000), Ru at (0.000, 0.000, 0.500), S at (0.500, 0.500, 0.000) and I at (0.000, 0.500, 0.500).


20.
DFT (PBE) results for a relaxed TiRuSI2 crystal.

The magnetization comes out at 0.0 μB/cell. As for the total energy: -20.7 eV/cell.

The space group is P4/mmm (No. 123) and the conventional cell measures 5.328, 5.328 and 4.673 Å, with angles of 90.00, 90.00 and 90.00 degrees. The distinct sites, in fractional coordinates, are Ti at (0.000, 0.000, 0.000), Ru at (0.000, 0.000, 0.500), S at (0.500, 0.500, 0.000) and I at (0.000, 0.500, 0.500).


21.
DFT (PBE) results for a relaxed TlRuS2I crystal.

The magnetization comes out at 3.6 μB/cell. As for the total energy: -15.0 eV/cell.

The space group is P4/mmm (No. 123) and the conventional cell measures 5.010, 5.010 and 6.272 Å, with angles of 90.00, 90.00 and 90.00 degrees. The distinct sites, in fractional coordinates, are Tl at (0.000, 0.000, 0.000), Ru at (0.500, 0.500, 0.500), S at (0.000, 0.500, 0.000) and I at (0.000, 0.000, 0.500).


22.
DFT (PBE) results for a relaxed YRuS2I crystal.

The magnetization comes out at 0.9 μB/cell. As for the total energy: -22.0 eV/cell.

The space group is P4/mmm (No. 123) and the conventional cell measures 5.150, 5.150 and 4.838 Å, with angles of 90.00, 90.00 and 90.00 degrees. The distinct sites, in fractional coordinates, are Y at (0.000, 0.000, 0.000), Ru at (0.500, 0.500, 0.000), S at (0.000, 0.500, 0.500) and I at (0.500, 0.500, 0.500).


23.
DFT (PBE) results for a relaxed ZnRu2SI crystal.

The magnetization comes out at 4.3 μB/cell. As for the total energy: -16.9 eV/cell.

The space group is P4/mmm (No. 123) and the conventional cell measures 4.799, 4.799 and 5.010 Å, with angles of 90.00, 90.00 and 90.00 degrees. The distinct sites, in fractional coordinates, are Zn at (0.000, 0.000, 0.000), Ru at (0.000, 0.500, 0.000), S at (0.500, 0.500, 0.500) and I at (0.000, 0.000, 0.500).


24.
DFT (PBE) results for a relaxed Sb2Ru2I crystal.

The magnetization comes out at 0.0 μB/cell. As for the total energy: -53.8 eV/cell.

The space group is I4/mmm (No. 139) and the conventional cell measures 4.546, 4.546 and 11.192 Å, with angles of 90.00, 90.00 and 90.00 degrees. The distinct sites, in fractional coordinates, are Sb at (0.000, 0.000, 0.134), Ru at (0.000, 0.500, 0.250) and I at (0.000, 0.000, 0.500).


25.
DFT (PBE) results for a relaxed SbRuI3 crystal.

The magnetization comes out at 0.0 μB/cell. As for the total energy: -15.6 eV/cell.

The space group is Pm-3m (No. 221) and the conventional cell measures 5.346, 5.346 and 5.346 Å, with angles of 90.00, 90.00 and 90.00 degrees. The distinct sites, in fractional coordinates, are Sb at (0.000, 0.000, 0.000), Ru at (0.500, 0.500, 0.500) and I at (0.000, 0.500, 0.500).


26.
DFT (PBE) results for a relaxed SbRu2I crystal.

The magnetization comes out at 6.2 μB/cell. As for the total energy: -86.4 eV/cell.

The space group is Fm-3m (No. 225) and the conventional cell measures 6.674, 6.674 and 6.674 Å, with angles of 90.00, 90.00 and 90.00 degrees. The distinct sites, in fractional coordinates, are Sb at (0.000, 0.000, 0.000), Ru at (0.250, 0.250, 0.250) and I at (0.000, 0.000, 0.500).


27.
DFT (PBE) results for a relaxed SbRuI2 crystal.

The magnetization comes out at 5.8 μB/cell. As for the total energy: -51.2 eV/cell.

The space group is Fm-3m (No. 225) and the conventional cell measures 7.393, 7.393 and 7.393 Å, with angles of 90.00, 90.00 and 90.00 degrees. The distinct sites, in fractional coordinates, are Sb at (0.000, 0.000, 0.000), Ru at (0.000, 0.000, 0.500) and I at (0.250, 0.250, 0.250).


28.
DFT (PBE) results for a relaxed Sb3RuI crystal.

The magnetization comes out at 0.0 μB/cell. As for the total energy: -13.4 eV/cell.

The space group is Pm-3m (No. 221) and the conventional cell measures 5.605, 5.605 and 5.605 Å, with angles of 90.00, 90.00 and 90.00 degrees. The distinct sites, in fractional coordinates, are Sb at (0.000, 0.000, 0.500), Ru at (0.500, 0.500, 0.500) and I at (0.000, 0.000, 0.000).